w.
Mg3NbCu | PBE-GGA | optimized geometry

## Properties
D(E_F): 2.70 states/eV/cell
ρ: 2424 kg/m³
Volume: 31.427 Å³/atom

abc: 5.396 5.396 5.396
angles: 90.00 90.00 90.00
Atoms (fractional coordinates):
Mg  0.000  0.000  0.500
Mg  0.000  0.500  0.000
Mg  0.500  0.000  0.000
Nb  0.000  0.000  0.000
Cu  0.500  0.500  0.500

***

x.
Mg3NbCu | PBE-GGA | optimized geometry

## Properties
D(E_F): 2.07 states/eV/cell
ρ: 3639 kg/m³
Volume: 20.936 Å³/atom

abc: 4.713 4.713 4.713
angles: 90.00 90.00 90.00
Atoms (fractional coordinates):
Mg  0.000  0.000  0.500
Mg  0.000  0.500  0.000
Mg  0.500  0.000  0.000
Nb  0.500  0.500  0.500
Cu  0.000  0.000  0.000

***

Most stable structure among those shown: x.